Record 1
! PBE-GGA ReRuPt2, relaxed; values from VASP
! Energy above the lowest structure with this stoichiometry   12.6 kJ per mole of atoms
! Formation enthalpy at 0 K   0.0270 eV per atom
! V   14.9 A^3/atom
! DFT total energy   -8.42 eV per atom
&SYSTEM
  ibrav = 0, nat = 4, ntyp = 3
/
ATOMIC_SPECIES
Pt 195.08 Pt.upf
Ru 101.07 Ru.upf
Re 186.21 Re.upf
CELL_PARAMETERS angstrom
2.764 0.000 0.000
0.000 4.779 0.001
0.000 3.182 4.521
ATOMIC_POSITIONS crystal
Pt 0.500 0.500 0.000
Pt 0.000 0.000 0.000
Ru 0.000 0.000 0.500
Re 0.500 0.500 0.500



Record 2
! PBE-GGA ReRuPt2, relaxed; values from VASP
! Energy above the lowest structure with this stoichiometry   43.0 kJ per mole of atoms
! Formation enthalpy at 0 K   0.3413 eV per atom
! V   15.4 A^3/atom
! DFT total energy   -8.11 eV per atom
&SYSTEM
  ibrav = 0, nat = 4, ntyp = 3
/
ATOMIC_SPECIES
Pt 195.08 Pt.upf
Ru 101.07 Ru.upf
Re 186.21 Re.upf
CELL_PARAMETERS angstrom
4.429 0.000 0.000
2.214 3.835 0.000
2.214 1.278 3.616
ATOMIC_POSITIONS crystal
Pt 0.750 0.750 0.750
Ru 0.250 0.250 0.250
Re 0.500 0.500 0.500
Pt 0.000 0.000 0.000



Record 3
! PBE-GGA ReRuPt2, relaxed; values from VASP
! Energy above the lowest structure with this stoichiometry   0.4 kJ per mole of atoms
! Formation enthalpy at 0 K   -0.0994 eV per atom
! V   15.0 A^3/atom
! DFT total energy   -8.55 eV per atom
&SYSTEM
  ibrav = 0, nat = 4, ntyp = 3
/
ATOMIC_SPECIES
Pt 195.08 Pt.upf
Ru 101.07 Ru.upf
Re 186.21 Re.upf
CELL_PARAMETERS angstrom
9.278 -0.003 -0.002
8.869 2.722 -0.002
8.869 1.329 2.376
ATOMIC_POSITIONS crystal
Pt 0.002 0.002 0.002
Ru 0.754 0.754 0.754
Re 0.497 0.497 0.497
Pt 0.247 0.247 0.247



Record 4
! PBE-GGA ReRuPt2, relaxed; values from VASP
! Energy above the lowest structure with this stoichiometry   115.1 kJ per mole of atoms
! Formation enthalpy at 0 K   1.0885 eV per atom
! V   22.1 A^3/atom
! DFT total energy   -7.36 eV per atom
&SYSTEM
  ibrav = 0, nat = 8, ntyp = 3
/
ATOMIC_SPECIES
Re 186.21 Re.upf
Pt 195.08 Pt.upf
Ru 101.07 Ru.upf
CELL_PARAMETERS angstrom
5.663 0.000 0.000
0.000 5.663 0.000
2.832 2.832 5.518
ATOMIC_POSITIONS crystal
Re 0.000 0.000 0.000
Pt 0.627 0.125 0.250
Ru 0.500 0.500 0.000
Re 0.750 0.250 0.500
Pt 0.123 0.625 0.250
Pt 0.875 0.877 0.750
Ru 0.250 0.750 0.500
Pt 0.375 0.373 0.750



Record 5
! PBE-GGA ReRuPt, relaxed; values from VASP
! Energy above the lowest structure with this stoichiometry   5.2 kJ per mole of atoms
! Formation enthalpy at 0 K   -0.0275 eV per atom
! V   14.8 A^3/atom
! DFT total energy   -9.28 eV per atom
&SYSTEM
  ibrav = 0, nat = 6, ntyp = 3
/
ATOMIC_SPECIES
Ru 101.07 Ru.upf
Re 186.21 Re.upf
Pt 195.08 Pt.upf
CELL_PARAMETERS angstrom
2.763 0.003 0.000
-0.005 4.754 -0.570
0.001 -0.804 6.845
ATOMIC_POSITIONS crystal
Ru 0.718 0.224 0.703
Re 0.718 0.000 0.027
Pt 0.218 0.276 0.356
Ru 0.718 0.776 0.351
Pt 0.218 0.724 0.698
Re 0.218 0.500 0.027



Record 6
! PBE-GGA ReRuPt2, relaxed; values from VASP
! Energy above the lowest structure with this stoichiometry   12.7 kJ per mole of atoms
! Formation enthalpy at 0 K   0.0282 eV per atom
! V   14.9 A^3/atom
! DFT total energy   -8.42 eV per atom
&SYSTEM
  ibrav = 0, nat = 4, ntyp = 3
/
ATOMIC_SPECIES
Ru 101.07 Ru.upf
Re 186.21 Re.upf
Pt 195.08 Pt.upf
CELL_PARAMETERS angstrom
4.849 -0.009 0.002
1.791 4.506 -0.002
-3.321 -2.247 2.728
ATOMIC_POSITIONS crystal
Ru 0.250 0.750 0.500
Re 0.750 0.250 0.500
Pt 0.500 0.500 0.000
Pt 0.000 0.000 0.000



Record 7
! PBE-GGA Re6Ru12Pt, relaxed; values from VASP
! Formation enthalpy at 0 K   0.2240 eV per atom
! V   15.1 A^3/atom
! DFT total energy   -9.88 eV per atom
&SYSTEM
  ibrav = 0, nat = 19, ntyp = 3
/
ATOMIC_SPECIES
Ru 101.07 Ru.upf
Pt 195.08 Pt.upf
Re 186.21 Re.upf
CELL_PARAMETERS angstrom
-1.671 3.345 5.539
2.556 -5.455 2.891
5.731 3.159 -1.353
ATOMIC_POSITIONS crystal
Ru 0.246 0.754 0.500
Ru 0.366 0.102 0.366
Ru 0.634 0.634 0.898
Ru 0.634 0.898 0.634
Pt 0.000 0.000 0.000
Re 0.898 0.898 0.340
Ru 0.366 0.366 0.102
Ru 0.754 0.500 0.246
Ru 0.898 0.634 0.634
Re 0.102 0.660 0.102
Re 0.898 0.340 0.898
Ru 0.754 0.246 0.500
Re 0.340 0.898 0.898
Re 0.102 0.102 0.660
Ru 0.500 0.754 0.246
Ru 0.102 0.366 0.366
Ru 0.500 0.246 0.754
Re 0.660 0.102 0.102
Ru 0.246 0.500 0.754



Record 8
! PBE-GGA ReRuPt3, relaxed; values from VASP
! Energy above the lowest structure with this stoichiometry   0.0 kJ per mole of atoms
! Formation enthalpy at 0 K   1.6739 eV per atom
! V   22.0 A^3/atom
! DFT total energy   -6.30 eV per atom
&SYSTEM
  ibrav = 0, nat = 5, ntyp = 3
/
ATOMIC_SPECIES
Pt 195.08 Pt.upf
Re 186.21 Re.upf
Ru 101.07 Ru.upf
CELL_PARAMETERS angstrom
4.789 0.000 0.000
0.000 4.789 0.000
0.000 0.000 4.789
ATOMIC_POSITIONS crystal
Pt 0.000 0.000 0.500
Pt 0.500 0.000 0.000
Pt 0.000 0.500 0.000
Re 0.000 0.000 0.000
Ru 0.500 0.500 0.500